#a
CeCdO | PBE-GGA | relaxed

## Properties
Symmetry: No. 129
Magnetic moment, μB per atom: 0.22

Lattice parameters (Å, degrees): 3.993 3.993 8.162 90.00 90.00 90.00
Last column: magnetic moment on the atom in μB.
Fractional positions:
O1 0.250 0.250 0.500  -0.02
O2 0.750 0.750 0.500  -0.02
Cd1 0.250 0.750 0.912  -0.01
Ce1 0.250 0.750 0.355  0.64
Ce2 0.750 0.250 0.645  0.64
Cd2 0.750 0.250 0.088  -0.01

#b
CeCdO | PBE-GGA | relaxed

## Properties
Symmetry: No. 166
Magnetic moment, μB per atom: 0.41

Lattice parameters (Å, degrees): 3.933 3.933 10.330 79.03 79.03 60.00
Last column: magnetic moment on the atom in μB.
Fractional positions:
Cd1 0.135 0.135 0.596  0.02
O1 0.697 0.697 0.909  -0.02
Ce1 0.618 0.618 0.146  0.91
Cd2 0.865 0.865 0.404  0.02
O2 0.303 0.303 0.091  -0.02
Ce2 0.382 0.382 0.854  0.91

Question: of the structures shown, which is the most stable? Reply: #a.